NiBrCl2: relaxed, PBE.

Summary:
E above lowest polymorph: 1003 meV/atom
ΔE_f (raw): 0.615 eV/atom

Cell lengths 4.8187, 4.8187, 4.8187 Å; angles 60.00, 60.00, 60.00 degrees
Atoms (fractional coordinates):
Ni  0.0000  0.0000  0.0000
Br  0.7500  0.7500  0.7500
Cl  0.2500  0.2500  0.2500
Cl  0.5000  0.5000  0.5000